No. 1
Density functional theory data (PBE-GGA) for a relaxed PmLuW crystal.

a = 4.8804 Å, b = 4.8804 Å, c = 4.8804 Å
α = 60.00°, β = 60.00°, γ = 60.00°
Element x y z (fractional)
Lu  0.2500  0.2500  0.2500
Pm  0.7500  0.7500  0.7500
W  0.0000  0.0000  0.0000

* SG: F-43m
* relative energy among the computed polymorphs: 0 meV per atom
* E_form: 857.2 meV/atom

=====

No. 2
Density functional theory data (PBE-GGA) for a relaxed PmLuZr crystal.

a = 5.2108 Å, b = 5.2108 Å, c = 5.2108 Å
α = 60.00°, β = 60.00°, γ = 60.00°
Each line ends with the local moment (μB).
Element x y z (fractional)
Lu  0.2500  0.2500  0.2500  0.26
Pm  0.7500  0.7500  0.7500  0.20
Zr  0.0000  0.0000  0.0000  0.85

* SG: F-43m
* relative energy among the computed polymorphs: 0 meV per atom
* E_form: 794.1 meV/atom

=====

No. 3
Density functional theory data (PBE-GGA) for a relaxed PrLu crystal.

a = 4.5867 Å, b = 4.5867 Å, c = 4.5867 Å
α = 60.00°, β = 60.00°, γ = 60.00°
Element x y z (fractional)
Lu  0.0000  0.0000  0.0000
Pr  0.5000  0.5000  0.5000

* SG: Fm-3m
* relative energy among the computed polymorphs: 615 meV per atom
* E_form: 667.3 meV/atom

=====

No. 4
Density functional theory data (PBE-GGA) for a relaxed PrLu crystal.

a = 3.6348 Å, b = 3.6348 Å, c = 5.7649 Å
α = 90.00°, β = 90.00°, γ = 120.00°
Element x y z (fractional)
Lu  0.6667  0.3333  0.7500
Pr  0.3333  0.6667  0.2500

* SG: P-6m2
* relative energy among the computed polymorphs: 0 meV per atom
* E_form: 51.9 meV/atom

=====

No. 5
Density functional theory data (PBE-GGA) for a relaxed PrLu2 crystal.

a = 6.6274 Å, b = 6.6274 Å, c = 6.6274 Å
α = 60.00°, β = 60.00°, γ = 60.00°
Each line ends with the local moment (μB).
Element x y z (fractional)
Lu  0.6250  0.6250  0.1250  0.51
Lu  0.6250  0.1250  0.6250  0.53
Lu  0.1250  0.6250  0.6250  0.55
Lu  0.6250  0.6250  0.6250  0.53
Pr  0.0000  0.0000  0.0000  0.55
Pr  0.2500  0.2500  0.2500  0.55

* SG: Fd-3m
* E_form: 263.0 meV/atom

=====

No. 6
Density functional theory data (PBE-GGA) for a relaxed PrLu crystal.

a = 4.9742 Å, b = 4.9742 Å, c = 4.9742 Å
α = 60.00°, β = 60.00°, γ = 60.00°
Element x y z (fractional)
Lu  0.0000  0.0000  0.0000
Pr  0.2500  0.2500  0.2500

* SG: F-43m
* relative energy among the computed polymorphs: 1639 meV per atom
* E_form: 1691.4 meV/atom

=====

No. 7
Density functional theory data (PBE-GGA) for a relaxed PrLuPt crystal.

a = 4.7908 Å, b = 4.7908 Å, c = 4.7908 Å
α = 60.00°, β = 60.00°, γ = 60.00°
Element x y z (fractional)
Lu  0.0000  0.0000  0.0000
Pr  0.2500  0.2500  0.2500
Pt  0.7500  0.7500  0.7500

* SG: F-43m
* E_form: -157.8 meV/atom

=====

No. 8
Density functional theory data (PBE-GGA) for a relaxed Pr3LuPt4 crystal.

a = 5.6843 Å, b = 4.5876 Å, c = 7.2626 Å
α = 90.00°, β = 90.97°, γ = 90.00°
Element x y z (fractional)
Lu  0.1400  0.0000  0.3175
Pr  0.6417  0.5000  0.1842
Pr  0.8612  0.5000  0.6790
Pr  0.3592  0.0000  0.8154
Pt  0.1514  0.5000  0.0625
Pt  0.6563  0.0000  0.4498
Pt  0.3357  0.5000  0.5270
Pt  0.8546  0.0000  0.9645

* SG: Pm
* E_form: -1159.1 meV/atom

=====

No. 9
Density functional theory data (PBE-GGA) for a relaxed PrLu3Pt4 crystal.

a = 5.5528 Å, b = 4.4877 Å, c = 6.9916 Å
α = 90.00°, β = 91.14°, γ = 90.00°
Element x y z (fractional)
Lu  0.3601  0.0000  0.1800
Lu  0.8568  0.5000  0.3147
Lu  0.6409  0.5000  0.8222
Pr  0.1430  0.0000  0.6823
Pt  0.8347  0.0000  0.0527
Pt  0.3511  0.5000  0.4367
Pt  0.6543  0.0000  0.5358
Pt  0.1591  0.5000  0.9755

* SG: Pm
* E_form: -1269.0 meV/atom

=====

No. 10
Density functional theory data (PBE-GGA) for a relaxed PrLuSb2Pt2 crystal.

a = 9.4372 Å, b = 4.6975 Å, c = 14.1164 Å
α = 90.00°, β = 109.26°, γ = 90.00°
Element x y z (fractional)
Lu  0.6869  0.0000  0.3766
Lu  0.1891  0.0000  0.3770
Lu  0.5591  0.5000  0.6225
Lu  0.4391  0.0000  0.8731
Pr  0.8113  0.5000  0.1261
Pr  0.3147  0.5000  0.1266
Pr  0.0614  0.5000  0.6240
Pr  0.9355  0.0000  0.8726
Pt  0.0008  0.5000  0.0006
Pt  0.3809  0.0000  0.2615
Pt  0.8813  0.0000  0.2618
Pt  0.7388  0.5000  0.4960
Pt  0.2561  0.5000  0.4964
Pt  0.6131  0.0000  0.7433
Pt  0.1411  0.0000  0.7547
Pt  0.4960  0.5000  0.9902
Sb  0.5630  0.0000  0.1255
Sb  0.0647  0.0000  0.1300
Sb  0.9381  0.5000  0.3773
Sb  0.4388  0.5000  0.3775
Sb  0.8028  0.0000  0.6208
Sb  0.3150  0.0000  0.6220
Sb  0.6797  0.5000  0.8693
Sb  0.1925  0.5000  0.8747

* SG: Pm
* calculated total energy: -6.11 eV/atom

=====

No. 11
Density functional theory data (PBE-GGA) for a relaxed PrLuPu crystal.

a = 5.1113 Å, b = 5.1113 Å, c = 5.1113 Å
α = 60.00°, β = 60.00°, γ = 60.00°
Element x y z (fractional)
Lu  0.2500  0.2500  0.2500
Pr  0.0000  0.0000  0.0000
Pu  0.7500  0.7500  0.7500

* SG: F-43m
* E_form: 817.1 meV/atom

=====

No. 12
Density functional theory data (PBE-GGA) for a relaxed RbPrLu crystal.

a = 6.0252 Å, b = 6.0252 Å, c = 6.0252 Å
α = 60.00°, β = 60.00°, γ = 60.00°
Each line ends with the local moment (μB).
Element x y z (fractional)
Lu  0.0000  0.0000  0.0000  0.37
Pr  0.2500  0.2500  0.2500  0.41
Rb  0.7500  0.7500  0.7500  0.02

* SG: F-43m
* calculated total energy: -2.25 eV/atom

=====

No. 13
Density functional theory data (PBE-GGA) for a relaxed PrLuRe crystal.

a = 4.8011 Å, b = 4.8011 Å, c = 4.8011 Å
α = 60.00°, β = 60.00°, γ = 60.00°
Element x y z (fractional)
Lu  0.0000  0.0000  0.0000
Pr  0.2500  0.2500  0.2500
Re  0.7500  0.7500  0.7500

* SG: F-43m
* relative energy among the computed polymorphs: 851 meV per atom
* E_form: 1092.3 meV/atom

=====

No. 14
Density functional theory data (PBE-GGA) for a relaxed PrLuRe crystal.

a = 4.4194 Å, b = 4.4194 Å, c = 7.6869 Å
α = 90.00°, β = 90.00°, γ = 90.00°
Element x y z (fractional)
Lu  0.0000  0.0000  0.0000
Lu  0.5000  0.5000  0.0000
Pr  0.0000  0.5000  0.3686
Pr  0.5000  0.0000  0.6314
Re  0.5000  0.0000  0.2431
Re  0.0000  0.5000  0.7569

* SG: P4/nmm
* relative energy among the computed polymorphs: 0 meV per atom
* E_form: 241.3 meV/atom

=====

No. 15
Density functional theory data (PBE-GGA) for a relaxed PrLu3S6 crystal.

a = 10.9368 Å, b = 3.9294 Å, c = 11.1860 Å
α = 90.00°, β = 108.92°, γ = 90.00°
Element x y z (fractional)
Lu  0.1790  0.7500  0.0007
Lu  0.9420  0.7500  0.3331
Lu  0.3390  0.2500  0.4124
Lu  0.6610  0.7500  0.5876
Lu  0.0580  0.2500  0.6669
Lu  0.8210  0.2500  0.9993
Pr  0.5499  0.7500  0.1967
Pr  0.4501  0.2500  0.8033
S  0.3782  0.2500  0.0358
S  0.9776  0.7500  0.1119
S  0.7680  0.2500  0.2291
S  0.2999  0.7500  0.2514
S  0.5816  0.2500  0.4090
S  0.1058  0.2500  0.4416
S  0.8942  0.7500  0.5584
S  0.4184  0.7500  0.5910
S  0.7001  0.2500  0.7486
S  0.2320  0.7500  0.7709
S  0.0224  0.2500  0.8881
S  0.6218  0.7500  0.9642

* SG: P2_1/m
* calculated total energy: -6.39 eV/atom

=====

No. 16
Density functional theory data (PBE-GGA) for a relaxed PrLuSc2Sb2 crystal.

a = 8.7705 Å, b = 8.7705 Å, c = 8.7705 Å
α = 150.94°, β = 150.94°, γ = 41.56°
Each line ends with the local moment (μB).
Element x y z (fractional)
Lu  0.6739  0.6739  0.0000  0.01
Pr  0.3227  0.3227  0.0000  0.01
Sb  0.1291  0.1291  0.0000  0.00
Sb  0.8709  0.8709  0.0000  -0.01
Sc  0.5017  0.0017  0.5000  0.30
Sc  0.0017  0.5017  0.5000  0.29

* SG: I4mm
* calculated total energy: -5.83 eV/atom

=====

No. 17
Density functional theory data (PBE-GGA) for a relaxed PrLuSi crystal.

a = 4.9027 Å, b = 4.9027 Å, c = 4.9027 Å
α = 60.00°, β = 60.00°, γ = 60.00°
Element x y z (fractional)
Lu  0.2500  0.2500  0.2500
Pr  0.7500  0.7500  0.7500
Si  0.0000  0.0000  0.0000

* SG: F-43m
* relative energy among the computed polymorphs: 0 meV per atom

=====

No. 18
Density functional theory data (PBE-GGA) for a relaxed PrSmLu crystal.

a = 5.4853 Å, b = 5.4853 Å, c = 5.4853 Å
α = 60.00°, β = 60.00°, γ = 60.00°
Element x y z (fractional)
Lu  0.2500  0.2500  0.2500
Pr  0.7500  0.7500  0.7500
Sm  0.0000  0.0000  0.0000

* SG: F-43m
* relative energy among the computed polymorphs: 0 meV per atom
* E_form: 732.1 meV/atom

=====

No. 19
Density functional theory data (PBE-GGA) for a relaxed Pr2LuSn7 crystal.

a = 13.2361 Å, b = 13.2361 Å, c = 4.6325 Å
α = 90.00°, β = 90.00°, γ = 160.34°
Element x y z (fractional)
Lu  0.0000  0.0000  0.0000
Pr  0.8156  0.1844  0.0000
Pr  0.1844  0.8156  0.0000
Sn  0.5915  0.4085  0.0000
Sn  0.4085  0.5915  0.0000
Sn  0.9074  0.0926  0.5000
Sn  0.7111  0.2889  0.5000
Sn  0.5000  0.5000  0.5000
Sn  0.2889  0.7111  0.5000
Sn  0.0926  0.9074  0.5000

* SG: Cmmm
* calculated total energy: -4.75 eV/atom

=====

No. 20
Density functional theory data (PBE-GGA) for a relaxed PrLuTc crystal.

a = 4.7997 Å, b = 4.7997 Å, c = 4.7997 Å
α = 60.00°, β = 60.00°, γ = 60.00°
Element x y z (fractional)
Lu  0.0000  0.0000  0.0000
Pr  0.2500  0.2500  0.2500
Tc  0.7500  0.7500  0.7500

* SG: F-43m
* E_form: 890.8 meV/atom

=====

No. 21
Density functional theory data (PBE-GGA) for a relaxed PrLuTlTe3 crystal.

a = 8.0667 Å, b = 8.0667 Å, c = 12.3030 Å
α = 90.00°, β = 90.00°, γ = 147.15°
Element x y z (fractional)
Lu  0.4508  0.5492  0.2500
Lu  0.5492  0.4508  0.7500
Pr  0.0000  0.0000  0.0000
Pr  0.0000  0.0000  0.5000
Te  0.3556  0.6444  0.0486
Te  0.0703  0.9297  0.2500
Te  0.3556  0.6444  0.4514
Te  0.6444  0.3556  0.5486
Te  0.9297  0.0703  0.7500
Te  0.6444  0.3556  0.9514
Tl  0.7518  0.2482  0.2500
Tl  0.2482  0.7518  0.7500

* SG: Cmcm
* relative energy among the computed polymorphs: 0 meV per atom

=====

No. 22
Density functional theory data (PBE-GGA) for a relaxed PrLuTlTe3 crystal.

a = 7.9462 Å, b = 7.9462 Å, c = 12.1565 Å
α = 90.00°, β = 90.00°, γ = 147.71°
Each line ends with the local moment (μB).
Element x y z (fractional)
Lu  0.5000  0.5000  0.0000  0.05
Lu  0.5000  0.5000  0.5000  0.05
Pr  0.9297  0.0703  0.2500  0.10
Pr  0.0703  0.9297  0.7500  0.10
Te  0.8600  0.1399  0.0157  0.00
Te  0.5709  0.4291  0.2500  0.00
Te  0.8600  0.1399  0.4843  0.00
Te  0.1399  0.8600  0.5157  0.00
Te  0.4291  0.5709  0.7500  0.00
Te  0.1399  0.8600  0.9843  0.00
Tl  0.2440  0.7560  0.2500  0.03
Tl  0.7560  0.2440  0.7500  0.03

* SG: Cmcm
* relative energy among the computed polymorphs: 62 meV per atom

=====

No. 23
Density functional theory data (PBE-GGA) for a relaxed PrLuTh crystal.

a = 5.3672 Å, b = 5.3672 Å, c = 5.3672 Å
α = 60.00°, β = 60.00°, γ = 60.00°
Element x y z (fractional)
Lu  0.2500  0.2500  0.2500
Pr  0.0000  0.0000  0.0000
Th  0.7500  0.7500  0.7500

* SG: F-43m
* E_form: 836.9 meV/atom

=====

No. 24
Density functional theory data (PBE-GGA) for a relaxed PrLuTl crystal.

a = 5.2196 Å, b = 5.2196 Å, c = 5.2196 Å
α = 60.00°, β = 60.00°, γ = 60.00°
Element x y z (fractional)
Lu  0.2500  0.2500  0.2500
Pr  0.7500  0.7500  0.7500
Tl  0.0000  0.0000  0.0000

* SG: F-43m
* relative energy among the computed polymorphs: 0 meV per atom

=====

No. 25
Density functional theory data (PBE-GGA) for a relaxed PrLuU crystal.

a = 5.2466 Å, b = 5.2466 Å, c = 5.2466 Å
α = 60.00°, β = 60.00°, γ = 60.00°
Element x y z (fractional)
Lu  0.2500  0.2500  0.2500
Pr  0.7500  0.7500  0.7500
U  0.0000  0.0000  0.0000

* SG: F-43m
* relative energy among the computed polymorphs: 0 meV per atom
* E_form: 1260.4 meV/atom

=====

No. 26
Density functional theory data (PBE-GGA) for a relaxed PrLuW crystal.

a = 4.8974 Å, b = 4.8974 Å, c = 4.8974 Å
α = 60.00°, β = 60.00°, γ = 60.00°
Element x y z (fractional)
Lu  0.2500  0.2500  0.2500
Pr  0.7500  0.7500  0.7500
W  0.0000  0.0000  0.0000

* SG: F-43m
* relative energy among the computed polymorphs: 0 meV per atom
* E_form: 870.1 meV/atom

=====

No. 27
Density functional theory data (PBE-GGA) for a relaxed PrYLu crystal.

a = 5.4757 Å, b = 5.4757 Å, c = 5.4757 Å
α = 60.00°, β = 60.00°, γ = 60.00°
Element x y z (fractional)
Lu  0.2500  0.2500  0.2500
Pr  0.7500  0.7500  0.7500
Y  0.0000  0.0000  0.0000

* SG: F-43m
* E_form: 751.8 meV/atom

=====

No. 28
Density functional theory data (PBE-GGA) for a relaxed PrLuZr crystal.

a = 5.1776 Å, b = 5.1776 Å, c = 5.1776 Å
α = 60.00°, β = 60.00°, γ = 60.00°
Element x y z (fractional)
Lu  0.2500  0.2500  0.2500
Pr  0.0000  0.0000  0.0000
Zr  0.7500  0.7500  0.7500

* SG: F-43m
* E_form: 996.1 meV/atom